Model 1:
## Pa2Tc3Sn2 (PBE-GGA)

Data for a geometry-optimized Pa2Tc3Sn2 structure.

Output
Magnetic moment ... 0.00 μB/atom
Density ... 10.74 g cm⁻³
Space group ... C2/m

Cell: 6.9645 6.9645 5.0873 Å, 97.15 97.15 38.91°
Fractional positions:
Pa 0.1523 0.1523 0.3679
Pa 0.8477 0.8477 0.6321
Tc 0.0000 0.0000 0.0000
Tc 0.2093 0.2093 0.8319
Tc 0.7907 0.7907 0.1681
Sn 0.4065 0.4065 0.1627
Sn 0.5935 0.5935 0.8373

=====

Model 2:
## Pa2Tc3Sn2 (PBE-GGA)

Data for a geometry-optimized Pa2Tc3Sn2 structure.

Output
Magnetic moment ... 0.00 μB/atom
Density ... 10.60 g cm⁻³
Space group ... C2/m

Cell: 7.2408 7.2408 6.2514 Å, 91.76 91.76 28.37°
Fractional positions:
Pa 0.1370 0.1370 0.1327
Pa 0.8630 0.8630 0.8673
Tc 0.2644 0.2644 0.6717
Tc 0.5000 0.5000 0.0000
Tc 0.7356 0.7356 0.3283
Sn 0.3915 0.3915 0.3407
Sn 0.6085 0.6085 0.6593

=====

The structure with the greatest stability is model 1.